Entry from the Alexandria database: a geometry-optimized SrMgGaAu3 structure (GGA-PBE).

Computed properties:
Theoretical density, g/cm3: 8.683
Formation enthalpy at 0 K, eV/atom: -0.433
V, A^3/atom: 24.6

Cell and atoms, written as CIF:
```
data_SrMgGaAu3
_chemical_formula_sum 'Sr2 Mg2 Ga2 Au6'
_space_group_name_H-M_alt 'P 1'
_space_group_IT_number 1
_cell_length_a 7.6086
_cell_length_b 6.2404
_cell_length_c 6.9620
_cell_angle_alpha 116.63
_cell_angle_beta 90.00
_cell_angle_gamma 90.00
loop_
_space_group_symop_operation_xyz
'x,y,z'
loop_
_atom_site_label
_atom_site_type_symbol
_atom_site_fract_x
_atom_site_fract_y
_atom_site_fract_z
_atom_site_occupancy
Sr1 Sr 0.7500 0.3063 0.6126 1
Sr2 Sr 0.2500 0.6937 0.3874 1
Mg1 Mg 0.2500 0.3843 0.7686 1
Mg2 Mg 0.7500 0.6157 0.2314 1
Ga1 Ga 0.2500 0.9555 0.9110 1
Ga2 Ga 0.7500 0.0445 0.0890 1
Au1 Au 0.2500 0.1716 0.3433 1
Au2 Au 0.0000 0.2723 0.0000 1
Au3 Au 0.5000 0.7277 0.0000 1
Au4 Au 0.5000 0.2723 0.0000 1
Au5 Au 0.0000 0.7277 0.0000 1
Au6 Au 0.7500 0.8284 0.6567 1
```


Entry from the Alexandria database: a geometry-optimized SrMg2GaAu4 structure (GGA-PBE).

Computed properties:
Theoretical density, g/cm3: 9.638
Formation enthalpy at 0 K, eV/atom: -0.524
V, A^3/atom: 21.4

Cell and atoms, written as CIF:
```
data_SrMg2GaAu4
_chemical_formula_sum 'Sr1 Mg2 Ga1 Au4'
_space_group_name_H-M_alt 'P 1'
_space_group_IT_number 1
_cell_length_a 4.6238
_cell_length_b 4.6238
_cell_length_c 9.6255
_cell_angle_alpha 76.10
_cell_angle_beta 76.10
_cell_angle_gamma 60.00
loop_
_space_group_symop_operation_xyz
'x,y,z'
loop_
_atom_site_label
_atom_site_type_symbol
_atom_site_fract_x
_atom_site_fract_y
_atom_site_fract_z
_atom_site_occupancy
Sr1 Sr 0.0000 0.0000 0.0000 1
Mg1 Mg 0.7642 0.7642 0.7073 1
Mg2 Mg 0.2358 0.2358 0.2927 1
Ga1 Ga 0.5000 0.5000 0.5000 1
Au1 Au 0.4019 0.4019 0.7944 1
Au2 Au 0.8688 0.8688 0.3937 1
Au3 Au 0.1312 0.1312 0.6063 1
Au4 Au 0.5981 0.5981 0.2056 1
```


Entry from the Alexandria database: a geometry-optimized Sr2MgGaAu6 structure (GGA-PBE).

Computed properties:
Theoretical density, g/cm3: 9.821
Formation enthalpy at 0 K, eV/atom: -0.519
V, A^3/atom: 24.5

Cell and atoms, written as CIF:
```
data_Sr2MgGaAu6
_chemical_formula_sum 'Sr2 Mg1 Ga1 Au6'
_space_group_name_H-M_alt 'P 1'
_space_group_IT_number 1
_cell_length_a 8.9981
_cell_length_b 5.7221
_cell_length_c 7.2581
_cell_angle_alpha 66.79
_cell_angle_beta 49.97
_cell_angle_gamma 90.00
loop_
_space_group_symop_operation_xyz
'x,y,z'
loop_
_atom_site_label
_atom_site_type_symbol
_atom_site_fract_x
_atom_site_fract_y
_atom_site_fract_z
_atom_site_occupancy
Sr1 Sr 0.2056 0.7496 0.5006 1
Sr2 Sr 0.7944 0.2504 0.4994 1
Mg1 Mg 0.5000 0.5000 0.0000 1
Ga1 Ga 0.0000 0.0000 0.0000 1
Au1 Au 0.2511 0.7542 0.9917 1
Au2 Au 0.7487 0.7455 0.0087 1
Au3 Au 0.3882 0.2499 0.4997 1
Au4 Au 0.7489 0.2458 0.0083 1
Au5 Au 0.2513 0.2545 0.9913 1
Au6 Au 0.6118 0.7501 0.5003 1
```


Entry from the Alexandria database: a geometry-optimized SrMgGa2Au2 structure (GGA-PBE).

Computed properties:
Theoretical density, g/cm3: 8.142
Formation enthalpy at 0 K, eV/atom: -0.601
V, A^3/atom: 21.9

Cell and atoms, written as CIF:
```
data_SrMgGa2Au2
_chemical_formula_sum 'Sr1 Mg1 Ga2 Au2'
_space_group_name_H-M_alt 'P 1'
_space_group_IT_number 1
_cell_length_a 4.5280
_cell_length_b 4.5280
_cell_length_c 7.4120
_cell_angle_alpha 90.00
_cell_angle_beta 90.00
_cell_angle_gamma 120.00
loop_
_space_group_symop_operation_xyz
'x,y,z'
loop_
_atom_site_label
_atom_site_type_symbol
_atom_site_fract_x
_atom_site_fract_y
_atom_site_fract_z
_atom_site_occupancy
Sr1 Sr 0.0000 0.0000 0.0000 1
Mg1 Mg 0.0000 0.0000 0.5000 1
Ga1 Ga 0.6667 0.3333 0.7022 1
Ga2 Ga 0.3333 0.6667 0.2978 1
Au1 Au 0.6667 0.3333 0.3099 1
Au2 Au 0.3333 0.6667 0.6901 1
```


Entry from the Alexandria database: a geometry-optimized SrMg2Ga2Au2 structure (GGA-PBE).

Computed properties:
Theoretical density, g/cm3: 7.115
Formation enthalpy at 0 K, eV/atom: -0.533
V, A^3/atom: 22.3

Cell and atoms, written as CIF:
```
data_SrMg2Ga2Au2
_chemical_formula_sum 'Sr1 Mg2 Ga2 Au2'
_space_group_name_H-M_alt 'P 1'
_space_group_IT_number 1
_cell_length_a 4.5587
_cell_length_b 4.5587
_cell_length_c 9.0738
_cell_angle_alpha 75.45
_cell_angle_beta 75.45
_cell_angle_gamma 60.00
loop_
_space_group_symop_operation_xyz
'x,y,z'
loop_
_atom_site_label
_atom_site_type_symbol
_atom_site_fract_x
_atom_site_fract_y
_atom_site_fract_z
_atom_site_occupancy
Sr1 Sr 0.0000 0.0000 0.0000 1
Mg1 Mg 0.1348 0.1348 0.5956 1
Mg2 Mg 0.8652 0.8652 0.4044 1
Ga1 Ga 0.5826 0.5826 0.2522 1
Ga2 Ga 0.4174 0.4174 0.7478 1
Au1 Au 0.7575 0.7575 0.7274 1
Au2 Au 0.2425 0.2425 0.2726 1
```


Entry from the Alexandria database: a geometry-optimized MgTaGa2Au structure (GGA-PBE).

Computed properties:
Theoretical density, g/cm3: 7.894
Formation enthalpy at 0 K, eV/atom: 0.836
V, A^3/atom: 22.8

Cell and atoms, written as CIF:
```
data_MgTaGa2Au
_chemical_formula_sum 'Mg1 Ta1 Ga2 Au1'
_space_group_name_H-M_alt 'P 1'
_space_group_IT_number 1
_cell_length_a 4.8200
_cell_length_b 4.8200
_cell_length_c 4.9043
_cell_angle_alpha 90.00
_cell_angle_beta 90.00
_cell_angle_gamma 90.00
loop_
_space_group_symop_operation_xyz
'x,y,z'
loop_
_atom_site_label
_atom_site_type_symbol
_atom_site_fract_x
_atom_site_fract_y
_atom_site_fract_z
_atom_site_occupancy
Mg1 Mg 0.0000 0.0000 0.5000 1
Au1 Au 0.0000 0.0000 0.0000 1
Ga1 Ga 0.0000 0.5000 0.0000 1
Ga2 Ga 0.5000 0.0000 0.0000 1
Ta1 Ta 0.5000 0.5000 0.5000 1
```


Entry from the Alexandria database: a geometry-optimized TbMgGaAu structure (GGA-PBE).

Computed properties:
Theoretical density, g/cm3: 8.981
Formation enthalpy at 0 K, eV/atom: -0.634
V, A^3/atom: 20.8

Cell and atoms, written as CIF:
```
data_TbMgGaAu
_chemical_formula_sum 'Tb1 Mg1 Ga1 Au1'
_space_group_name_H-M_alt 'P 1'
_space_group_IT_number 1
_cell_length_a 4.9000
_cell_length_b 4.9000
_cell_length_c 4.9000
_cell_angle_alpha 60.00
_cell_angle_beta 60.00
_cell_angle_gamma 60.00
loop_
_space_group_symop_operation_xyz
'x,y,z'
loop_
_atom_site_label
_atom_site_type_symbol
_atom_site_fract_x
_atom_site_fract_y
_atom_site_fract_z
_atom_site_occupancy
Tb1 Tb 0.0000 0.0000 0.0000 1
Mg1 Mg 0.5000 0.5000 0.5000 1
Au1 Au 0.7500 0.7500 0.7500 1
Ga1 Ga 0.2500 0.2500 0.2500 1
```


Entry from the Alexandria database: a geometry-optimized Tb2MgGa3Au4 structure (GGA-PBE).

Computed properties:
Theoretical density, g/cm3: 10.791
Formation enthalpy at 0 K, eV/atom: -0.614
V, A^3/atom: 20.6

Cell and atoms, written as CIF:
```
data_Tb2MgGa3Au4
_chemical_formula_sum 'Tb2 Mg1 Ga3 Au4'
_space_group_name_H-M_alt 'P 1'
_space_group_IT_number 1
_cell_length_a 4.2859
_cell_length_b 4.2859
_cell_length_c 11.2184
_cell_angle_alpha 90.00
_cell_angle_beta 90.00
_cell_angle_gamma 90.00
loop_
_space_group_symop_operation_xyz
'x,y,z'
loop_
_atom_site_label
_atom_site_type_symbol
_atom_site_fract_x
_atom_site_fract_y
_atom_site_fract_z
_atom_site_occupancy
Tb1 Tb 0.5000 0.0000 0.2334 1
Tb2 Tb 0.0000 0.5000 0.7666 1
Mg1 Mg 0.5000 0.5000 0.5000 1
Ga1 Ga 0.0000 0.0000 0.5000 1
Ga2 Ga 0.5000 0.0000 0.8671 1
Ga3 Ga 0.0000 0.5000 0.1329 1
Au1 Au 0.5000 0.5000 0.0000 1
Au2 Au 0.0000 0.0000 0.0000 1
Au3 Au 0.5000 0.0000 0.6449 1
Au4 Au 0.0000 0.5000 0.3551 1
```


Entry from the Alexandria database: a geometry-optimized TbMg2GaAu4 structure (GGA-PBE).

Computed properties:
Theoretical density, g/cm3: 11.219
Formation enthalpy at 0 K, eV/atom: -0.571
V, A^3/atom: 19.7

Cell and atoms, written as CIF:
```
data_TbMg2GaAu4
_chemical_formula_sum 'Tb1 Mg2 Ga1 Au4'
_space_group_name_H-M_alt 'P 1'
_space_group_IT_number 1
_cell_length_a 4.6118
_cell_length_b 4.6118
_cell_length_c 8.9633
_cell_angle_alpha 75.09
_cell_angle_beta 75.09
_cell_angle_gamma 60.00
loop_
_space_group_symop_operation_xyz
'x,y,z'
loop_
_atom_site_label
_atom_site_type_symbol
_atom_site_fract_x
_atom_site_fract_y
_atom_site_fract_z
_atom_site_occupancy
Tb1 Tb 0.0000 0.0000 0.0000 1
Mg1 Mg 0.7574 0.7574 0.7278 1
Mg2 Mg 0.2426 0.2426 0.2722 1
Ga1 Ga 0.5000 0.5000 0.5000 1
Au1 Au 0.3906 0.3906 0.8282 1
Au2 Au 0.8744 0.8744 0.3768 1
Au3 Au 0.1256 0.1256 0.6232 1
Au4 Au 0.6094 0.6094 0.1718 1
```


Entry from the Alexandria database: a geometry-optimized TbMgGa2Au4 structure (GGA-PBE).

Computed properties:
Theoretical density, g/cm3: 11.975
Formation enthalpy at 0 K, eV/atom: -0.533
V, A^3/atom: 19.3

Cell and atoms, written as CIF:
```
data_TbMgGa2Au4
_chemical_formula_sum 'Tb1 Mg1 Ga2 Au4'
_space_group_name_H-M_alt 'P 1'
_space_group_IT_number 1
_cell_length_a 4.5760
_cell_length_b 4.5760
_cell_length_c 8.8936
_cell_angle_alpha 75.09
_cell_angle_beta 75.09
_cell_angle_gamma 60.00
loop_
_space_group_symop_operation_xyz
'x,y,z'
loop_
_atom_site_label
_atom_site_type_symbol
_atom_site_fract_x
_atom_site_fract_y
_atom_site_fract_z
_atom_site_occupancy
Tb1 Tb 0.0000 0.0000 0.0000 1
Mg1 Mg 0.5000 0.5000 0.5000 1
Ga1 Ga 0.7524 0.7524 0.7429 1
Ga2 Ga 0.2476 0.2476 0.2571 1
Au1 Au 0.3912 0.3912 0.8263 1
Au2 Au 0.8685 0.8685 0.3946 1
Au3 Au 0.1315 0.1315 0.6054 1
Au4 Au 0.6088 0.6088 0.1737 1
```


Entry from the Alexandria database: a geometry-optimized ThMg2GaAu2 structure (GGA-PBE).

Computed properties:
Theoretical density, g/cm3: 7.164
Formation enthalpy at 0 K, eV/atom: -0.006
V, A^3/atom: 28.8

Cell and atoms, written as CIF:
```
data_ThMg2GaAu2
_chemical_formula_sum 'Th1 Mg2 Ga1 Au2'
_space_group_name_H-M_alt 'P 1'
_space_group_IT_number 1
_cell_length_a 4.4270
_cell_length_b 4.4270
_cell_length_c 9.3431
_cell_angle_alpha 103.70
_cell_angle_beta 103.70
_cell_angle_gamma 90.00
loop_
_space_group_symop_operation_xyz
'x,y,z'
loop_
_atom_site_label
_atom_site_type_symbol
_atom_site_fract_x
_atom_site_fract_y
_atom_site_fract_z
_atom_site_occupancy
Th1 Th 0.5000 0.5000 0.0000 1
Mg1 Mg 0.2500 0.7500 0.5000 1
Mg2 Mg 0.7500 0.2500 0.5000 1
Ga1 Ga 0.0000 0.0000 0.0000 1
Au1 Au 0.3354 0.3354 0.6709 1
Au2 Au 0.6646 0.6646 0.3291 1
```


Entry from the Alexandria database: a geometry-optimized ThMgGa2Au4 structure (GGA-PBE).

Computed properties:
Theoretical density, g/cm3: 12.341
Formation enthalpy at 0 K, eV/atom: -0.517
V, A^3/atom: 19.9

Cell and atoms, written as CIF:
```
data_ThMgGa2Au4
_chemical_formula_sum 'Th1 Mg1 Ga2 Au4'
_space_group_name_H-M_alt 'P 1'
_space_group_IT_number 1
_cell_length_a 4.5467
_cell_length_b 4.5467
_cell_length_c 9.2750
_cell_angle_alpha 75.81
_cell_angle_beta 75.81
_cell_angle_gamma 60.00
loop_
_space_group_symop_operation_xyz
'x,y,z'
loop_
_atom_site_label
_atom_site_type_symbol
_atom_site_fract_x
_atom_site_fract_y
_atom_site_fract_z
_atom_site_occupancy
Th1 Th 0.0000 0.0000 0.0000 1
Mg1 Mg 0.5000 0.5000 0.5000 1
Ga1 Ga 0.7578 0.7578 0.7266 1
Ga2 Ga 0.2422 0.2422 0.2734 1
Au1 Au 0.3930 0.3930 0.8210 1
Au2 Au 0.8684 0.8684 0.3947 1
Au3 Au 0.1316 0.1316 0.6053 1
Au4 Au 0.6070 0.6070 0.1790 1
```